Record 1
# ErTh5Sc3 GGA-PBE relaxed
data_ErTh5Sc3
_space_group_name_H-M_alt 'I 4/m c m'
_space_group_IT_number 140
_space_group_name_Hall '-I 4 2c'
_cell_length_a 8.7580
_cell_length_b 8.7580
_cell_length_c 14.3295
_cell_angle_alpha 90.00
_cell_angle_beta 90.00
_cell_angle_gamma 90.00
loop_
_atom_site_label
_atom_site_fract_x
_atom_site_fract_y
_atom_site_fract_z
Er1 0.0000 0.5000 0.2500
Th1 0.0000 0.0000 0.0000
Th2 0.2161 0.2839 0.1288
Sc1 0.0000 0.0000 0.2500
Sc2 0.0990 0.4010 0.5000
# ΔH_f (0 K) ... 394 meV per atom
# Fermi-level density of states ... 1.980 states/eV/atom
# Total DFT energy (no corrections) ... -6.346 eV/atom

---

Record 2
# KW2Br GGA-PBE relaxed
data_KW2Br
_space_group_name_H-M_alt 'C 1 2/m 1'
_space_group_IT_number 12
_cell_length_a 5.4828
_cell_length_b 13.1552
_cell_length_c 3.1235
_cell_angle_alpha 90.00
_cell_angle_beta 124.17
_cell_angle_gamma 90.00
loop_
_space_group_symop_operation_xyz
'x,y,z'
'-x,-y,-z'
'-x,y,-z'
'x,-y,z'
'x+1/2,y+1/2,z'
'-x+1/2,-y+1/2,-z'
'-x+1/2,y+1/2,-z'
'x+1/2,-y+1/2,z'
loop_
_atom_site_label
_atom_site_fract_x
_atom_site_fract_y
_atom_site_fract_z
K1 0.0000 0.0000 0.0000
W1 0.2500 0.2500 0.0000
Br1 0.0000 0.5000 0.0000
# Fermi-level density of states ... 0.982 states/eV/atom
# Uncorrected formation energy ... 1.1717 eV per atom
# Total DFT energy (no corrections) ... -5.998 eV/atom
# Energy above the most stable polymorph in this dataset ... 0.773 eV/atom

---

Record 3
# PmHgPt GGA-PBE relaxed
data_PmHgPt
_space_group_name_H-M_alt 'P m m a'
_space_group_IT_number 51
_cell_length_a 13.4492
_cell_length_b 3.9544
_cell_length_c 7.8762
_cell_angle_alpha 90.00
_cell_angle_beta 90.00
_cell_angle_gamma 90.00
loop_
_space_group_symop_operation_xyz
'x,y,z'
'-x,-y,-z'
'-x+1/2,-y,z'
'x+1/2,y,-z'
'x+1/2,-y,-z'
'-x+1/2,y,z'
'-x,y,-z'
'x,-y,z'
loop_
_atom_site_label
_atom_site_fract_x
_atom_site_fract_y
_atom_site_fract_z
Pm1 0.0509 0.0000 0.2311
Pm2 0.2500 0.0000 0.8260
Hg1 0.1102 0.5000 0.5644
Hg2 0.2500 0.5000 0.1798
Pt1 0.0944 0.5000 0.9312
Pt2 0.2500 0.0000 0.4400
# ΔH_f (0 K) ... -808 meV per atom
# Fermi-level density of states ... 0.669 states/eV/atom
# Total DFT energy (no corrections) ... -4.506 eV/atom
# Energy above the most stable polymorph in this dataset ... 0.005 eV/atom

---

Record 4
# BaHgS GGA-PBE relaxed
data_BaHgS
_space_group_name_H-M_alt 'P 1'
_space_group_IT_number 1
_cell_length_a 4.2247
_cell_length_b 4.3938
_cell_length_c 6.9227
_cell_angle_alpha 72.04
_cell_angle_beta 86.92
_cell_angle_gamma 89.98
loop_
_space_group_symop_operation_xyz
'x,y,z'
loop_
_atom_site_label
_atom_site_fract_x
_atom_site_fract_y
_atom_site_fract_z
Ba1 0.0000 0.0000 0.0000
Hg1 0.4222 0.7664 0.4699
S1 0.5105 0.5514 0.8945
# Uncorrected formation energy ... -1.1416 eV per atom
# Total DFT energy (no corrections) ... -3.259 eV/atom
# Energy above the most stable polymorph in this dataset ... 0.072 eV/atom

---

Record 5
# YHo2ScSe4 GGA-PBE relaxed
data_YHo2ScSe4
_space_group_name_H-M_alt 'P 1 2/m 1'
_space_group_IT_number 10
_cell_length_a 6.9788
_cell_length_b 3.9878
_cell_length_c 7.0015
_cell_angle_alpha 90.00
_cell_angle_beta 109.03
_cell_angle_gamma 90.00
loop_
_space_group_symop_operation_xyz
'x,y,z'
'-x,-y,-z'
'-x,y,-z'
'x,-y,z'
loop_
_atom_site_label
_atom_site_fract_x
_atom_site_fract_y
_atom_site_fract_z
Y1 0.0000 0.0000 0.0000
Ho1 0.5000 0.0000 0.5000
Ho2 0.5000 0.5000 0.0000
Sc1 0.0000 0.5000 0.5000
Se1 0.2422 0.0000 0.7404
Se2 0.2475 0.5000 0.2562
# Fermi-level density of states ... 0.622 states/eV/atom
# Uncorrected formation energy ... -1.6888 eV per atom
# Total DFT energy (no corrections) ... -6.175 eV/atom

---

Record 6
# Hf2TcH6 GGA-PBE relaxed
data_Hf2TcH6
_space_group_name_H-M_alt 'C 1 2/m 1'
_space_group_IT_number 12
_cell_length_a 10.5011
_cell_length_b 4.4929
_cell_length_c 3.2109
_cell_angle_alpha 90.00
_cell_angle_beta 107.67
_cell_angle_gamma 90.00
loop_
_space_group_symop_operation_xyz
'x,y,z'
'-x,-y,-z'
'-x,y,-z'
'x,-y,z'
'x+1/2,y+1/2,z'
'-x+1/2,-y+1/2,-z'
'-x+1/2,y+1/2,-z'
'x+1/2,-y+1/2,z'
loop_
_atom_site_label
_atom_site_fract_x
_atom_site_fract_y
_atom_site_fract_z
Hf1 0.1638 0.0000 0.1644
Tc1 0.0000 0.5000 0.5000
H1 0.0000 0.2722 0.0000
H2 0.1639 0.2675 0.6644
# Fermi-level density of states ... 0.252 states/eV/atom
# Total DFT energy (no corrections) ... -5.903 eV/atom
# Energy above the most stable polymorph in this dataset ... 0.000 eV/atom

---

Record 7
# Ti3Al2H GGA-PBE relaxed
data_Ti3Al2H
_space_group_name_H-M_alt 'C 1 2/c 1'
_space_group_IT_number 15
_cell_length_a 7.2691
_cell_length_b 7.2747
_cell_length_c 6.5245
_cell_angle_alpha 90.00
_cell_angle_beta 98.78
_cell_angle_gamma 90.00
loop_
_space_group_symop_operation_xyz
'x,y,z'
'-x,-y,-z'
'-x,y,-z+1/2'
'x,-y,z+1/2'
'x+1/2,y+1/2,z'
'-x+1/2,-y+1/2,-z'
'-x+1/2,y+1/2,-z+1/2'
'x+1/2,-y+1/2,z+1/2'
loop_
_atom_site_label
_atom_site_fract_x
_atom_site_fract_y
_atom_site_fract_z
Ti1 0.0000 0.1435 0.2500
Ti2 0.1751 0.4306 0.9880
Al1 0.1386 0.2160 0.6453
H1 0.0000 0.4277 0.2500
# Fermi-level density of states ... 0.921 states/eV/atom
# Total DFT energy (no corrections) ... -6.045 eV/atom

---

Record 8
# NdSmZnCd GGA-PBE relaxed
data_NdSmZnCd
_space_group_name_H-M_alt 'P 4 m m'
_space_group_IT_number 99
_cell_length_a 3.7120
_cell_length_b 3.7120
_cell_length_c 7.6326
_cell_angle_alpha 90.00
_cell_angle_beta 90.00
_cell_angle_gamma 90.00
loop_
_space_group_symop_operation_xyz
'x,y,z'
'-y,x,z'
'-x,-y,z'
'y,-x,z'
'-x,y,z'
'y,x,z'
'x,-y,z'
'-y,-x,z'
loop_
_atom_site_label
_atom_site_fract_x
_atom_site_fract_y
_atom_site_fract_z
Nd1 0.0000 0.0000 0.0000
Sm1 0.0000 0.0000 0.4606
Zn1 0.5000 0.5000 0.2365
Cd1 0.5000 0.5000 0.7249
# ΔH_f (0 K) ... -321 meV per atom
# Fermi-level density of states ... 1.054 states/eV/atom
# Total DFT energy (no corrections) ... -3.240 eV/atom
# Energy above the most stable polymorph in this dataset ... 0.000 eV/atom

---

Record 9
# Ac3PdRhAu GGA-PBE relaxed
data_Ac3PdRhAu
_space_group_name_H-M_alt 'P 1 21/m 1'
_space_group_IT_number 11
_cell_length_a 8.8495
_cell_length_b 4.3003
_cell_length_c 10.1412
_cell_angle_alpha 90.00
_cell_angle_beta 113.23
_cell_angle_gamma 90.00
loop_
_space_group_symop_operation_xyz
'x,y,z'
'-x,-y,-z'
'-x,y+1/2,-z'
'x,-y+1/2,z'
loop_
_atom_site_label
_atom_site_fract_x
_atom_site_fract_y
_atom_site_fract_z
Ac1 0.0319 0.2500 0.3513
Ac2 0.2112 0.2500 0.0008
Ac3 0.4174 0.7500 0.6327
Pd1 0.4001 0.7500 0.9184
Rh1 0.2197 0.2500 0.6895
Au1 0.2582 0.7500 0.2640
# ΔH_f (0 K) ... -652 meV per atom
# Fermi-level density of states ... 0.751 states/eV/atom
# Total DFT energy (no corrections) ... -5.344 eV/atom

---

Record 10
# KRb2MgCd GGA-PBE relaxed
data_KRb2MgCd
_space_group_name_H-M_alt 'P 4/m m m'
_space_group_IT_number 123
_space_group_name_Hall '-P 4 2'
_cell_length_a 7.2236
_cell_length_b 7.2236
_cell_length_c 5.5968
_cell_angle_alpha 90.00
_cell_angle_beta 90.00
_cell_angle_gamma 90.00
loop_
_atom_site_label
_atom_site_fract_x
_atom_site_fract_y
_atom_site_fract_z
K1 0.0000 0.0000 0.0000
Rb1 0.0000 0.5000 0.5000
Mg1 0.5000 0.5000 0.0000
Cd1 0.5000 0.5000 0.5000
# ΔH_f (0 K) ... 118 meV per atom
# Fermi-level density of states ... 0.582 states/eV/atom
# Total DFT energy (no corrections) ... -0.991 eV/atom

---

Record 11
# Pm2Sm3Y GGA-PBE relaxed
data_Pm2Sm3Y
_space_group_name_H-M_alt 'P 1 21/m 1'
_space_group_IT_number 11
_cell_length_a 9.7823
_cell_length_b 3.5863
_cell_length_c 11.7001
_cell_angle_alpha 90.00
_cell_angle_beta 93.40
_cell_angle_gamma 90.00
loop_
_space_group_symop_operation_xyz
'x,y,z'
'-x,-y,-z'
'-x,y+1/2,-z'
'x,-y+1/2,z'
loop_
_atom_site_label
_atom_site_fract_x
_atom_site_fract_y
_atom_site_fract_z
Pm1 0.0579 0.2500 0.3567
Pm2 0.4156 0.7500 0.8783
Sm1 0.0987 0.2500 0.8982
Sm2 0.2646 0.2500 0.6400
Sm3 0.4229 0.2500 0.3810
Y1 0.2579 0.7500 0.1446
# ΔH_f (0 K) ... 65 meV per atom
# Fermi-level density of states ... 1.455 states/eV/atom
# Total DFT energy (no corrections) ... -4.956 eV/atom
# Energy above the most stable polymorph in this dataset ... 0.000 eV/atom

---

Record 12
# RbCu3Sb GGA-PBE relaxed
data_RbCu3Sb
_space_group_name_H-M_alt 'P m -3 m'
_space_group_IT_number 221
_space_group_name_Hall '-P 4 2 3'
_cell_length_a 5.0835
_cell_length_b 5.0835
_cell_length_c 5.0835
_cell_angle_alpha 90.00
_cell_angle_beta 90.00
_cell_angle_gamma 90.00
loop_
_atom_site_label
_atom_site_fract_x
_atom_site_fract_y
_atom_site_fract_z
Rb1 0.0000 0.0000 0.0000
Cu1 0.0000 0.5000 0.5000
Sb1 0.5000 0.5000 0.5000
# Fermi-level density of states ... 0.629 states/eV/atom
# Uncorrected formation energy ... 0.3526 eV per atom
# Total DFT energy (no corrections) ... -3.123 eV/atom
# Energy above the most stable polymorph in this dataset ... 0.000 eV/atom

---

Record 13
# RbHgF2 GGA-PBE relaxed
data_RbHgF2
_space_group_name_H-M_alt 'P 1 21/m 1'
_space_group_IT_number 11
_cell_length_a 5.5376
_cell_length_b 3.7661
_cell_length_c 8.1110
_cell_angle_alpha 90.00
_cell_angle_beta 99.39
_cell_angle_gamma 90.00
loop_
_space_group_symop_operation_xyz
'x,y,z'
'-x,-y,-z'
'-x,y+1/2,-z'
'x,-y+1/2,z'
loop_
_atom_site_label
_atom_site_fract_x
_atom_site_fract_y
_atom_site_fract_z
Rb1 0.2176 0.2500 0.3755
Hg1 0.3155 0.7500 0.9345
F1 0.0215 0.2500 0.8634
F2 0.2884 0.7500 0.6315
# Uncorrected formation energy ... -1.8828 eV per atom
# Total DFT energy (no corrections) ... -3.136 eV/atom
# Energy above the most stable polymorph in this dataset ... 0.026 eV/atom

---

Record 14
# Ba6TlPd3 GGA-PBE relaxed
data_Ba6TlPd3
_space_group_name_H-M_alt 'P 1 21/m 1'
_space_group_IT_number 11
_cell_length_a 11.9016
_cell_length_b 4.5629
_cell_length_c 16.3109
_cell_angle_alpha 90.00
_cell_angle_beta 109.46
_cell_angle_gamma 90.00
loop_
_space_group_symop_operation_xyz
'x,y,z'
'-x,-y,-z'
'-x,y+1/2,-z'
'x,-y+1/2,z'
loop_
_atom_site_label
_atom_site_fract_x
_atom_site_fract_y
_atom_site_fract_z
Ba1 0.0254 0.2500 0.1144
Ba2 0.0651 0.7500 0.4156
Ba3 0.2269 0.2500 0.8048
Ba4 0.3375 0.2500 0.5950
Ba5 0.3444 0.2500 0.3354
Ba6 0.3570 0.7500 0.0636
Tl1 0.4382 0.7500 0.7794
Pd1 0.1546 0.7500 0.6407
Pd2 0.1613 0.2500 0.9781
Pd3 0.4218 0.7500 0.4784
# ΔH_f (0 K) ... -391 meV per atom
# Fermi-level density of states ... 0.726 states/eV/atom
# Total DFT energy (no corrections) ... -3.339 eV/atom

---

Record 15
# TlGa2P GGA-PBE relaxed
data_TlGa2P
_space_group_name_H-M_alt 'I -4 2 d'
_space_group_IT_number 122
_space_group_name_Hall 'I -4 2bw'
_cell_length_a 6.2851
_cell_length_b 6.2851
_cell_length_c 10.5627
_cell_angle_alpha 90.00
_cell_angle_beta 90.00
_cell_angle_gamma 90.00
loop_
_atom_site_label
_atom_site_fract_x
_atom_site_fract_y
_atom_site_fract_z
Tl1 0.0000 0.0000 0.0000
Ga1 0.1991 0.2500 0.6250
P1 0.0000 0.0000 0.5000
# ΔH_f (0 K) ... 72 meV per atom
# Fermi-level density of states ... 0.051 states/eV/atom
# Total DFT energy (no corrections) ... -3.385 eV/atom
# Energy above the most stable polymorph in this dataset ... 0.000 eV/atom

---

Record 16
# ZrV2Ni GGA-PBE relaxed
data_ZrV2Ni
_space_group_name_H-M_alt 'I -4 2 d'
_space_group_IT_number 122
_space_group_name_Hall 'I -4 2bw'
_cell_length_a 3.5929
_cell_length_b 3.5929
_cell_length_c 19.5505
_cell_angle_alpha 90.00
_cell_angle_beta 90.00
_cell_angle_gamma 90.00
loop_
_atom_site_label
_atom_site_fract_x
_atom_site_fract_y
_atom_site_fract_z
Zr1 0.0000 0.0000 0.0000
V1 0.2419 0.2500 0.6250
Ni1 0.0000 0.0000 0.5000
# ΔH_f (0 K) ... 325 meV per atom
# Fermi-level density of states ... 1.373 states/eV/atom
# Total DFT energy (no corrections) ... -7.817 eV/atom
# Energy above the most stable polymorph in this dataset ... 0.139 eV/atom

---

Record 17
# Y3ReSe GGA-PBE relaxed
data_Y3ReSe
_space_group_name_H-M_alt 'P m -3 m'
_space_group_IT_number 221
_space_group_name_Hall '-P 4 2 3'
_cell_length_a 5.3785
_cell_length_b 5.3785
_cell_length_c 5.3785
_cell_angle_alpha 90.00
_cell_angle_beta 90.00
_cell_angle_gamma 90.00
loop_
_atom_site_label
_atom_site_fract_x
_atom_site_fract_y
_atom_site_fract_z
Y1 0.0000 0.0000 0.5000
Re1 0.0000 0.0000 0.0000
Se1 0.5000 0.5000 0.5000
# Fermi-level density of states ... 1.304 states/eV/atom
# Uncorrected formation energy ... 0.0800 eV per atom
# Total DFT energy (no corrections) ... -6.985 eV/atom
# Energy above the most stable polymorph in this dataset ... 0.000 eV/atom

---

Record 18
# InAu4 GGA-PBE relaxed
data_InAu4
_space_group_name_H-M_alt 'I m -3 m'
_space_group_IT_number 229
_space_group_name_Hall '-I 4 2 3'
_cell_length_a 6.2033
_cell_length_b 6.2033
_cell_length_c 6.2033
_cell_angle_alpha 90.00
_cell_angle_beta 90.00
_cell_angle_gamma 90.00
loop_
_atom_site_label
_atom_site_fract_x
_atom_site_fract_y
_atom_site_fract_z
In1 0.0000 0.0000 0.0000
Au1 0.2500 0.2500 0.2500
# ΔH_f (0 K) ... 247 meV per atom
# Fermi-level density of states ... 0.858 states/eV/atom
# Total DFT energy (no corrections) ... -2.922 eV/atom

---

Record 19
# YTcIr2 GGA-PBE relaxed
data_YTcIr2
_space_group_name_H-M_alt 'C m m m'
_space_group_IT_number 65
_space_group_name_Hall '-C 2 2'
_cell_length_a 5.8290
_cell_length_b 7.8539
_cell_length_c 2.9268
_cell_angle_alpha 90.00
_cell_angle_beta 90.00
_cell_angle_gamma 90.00
loop_
_atom_site_label
_atom_site_fract_x
_atom_site_fract_y
_atom_site_fract_z
Y1 0.0000 0.0000 0.0000
Tc1 0.0000 0.5000 0.0000
Ir1 0.2500 0.2500 0.5000
# ΔH_f (0 K) ... -163 meV per atom
# Fermi-level density of states ... 0.996 states/eV/atom
# Total DFT energy (no corrections) ... -8.801 eV/atom
# Energy above the most stable polymorph in this dataset ... 0.077 eV/atom

---

Record 20
# Pm2Pr4Sm5 GGA-PBE relaxed
data_Pm2Pr4Sm5
_space_group_name_H-M_alt 'C 1 2/m 1'
_space_group_IT_number 12
_cell_length_a 20.0524
_cell_length_b 6.0105
_cell_length_c 6.3909
_cell_angle_alpha 90.00
_cell_angle_beta 96.14
_cell_angle_gamma 90.00
loop_
_space_group_symop_operation_xyz
'x,y,z'
'-x,-y,-z'
'-x,y,-z'
'x,-y,z'
'x+1/2,y+1/2,z'
'-x+1/2,-y+1/2,-z'
'-x+1/2,y+1/2,-z'
'x+1/2,-y+1/2,z'
loop_
_atom_site_label
_atom_site_fract_x
_atom_site_fract_y
_atom_site_fract_z
Pm1 0.0973 0.0000 0.0392
Pr1 0.0372 0.5000 0.7765
Pr2 0.1928 0.0000 0.5701
Sm1 0.0000 0.0000 0.5000
Sm2 0.1302 0.5000 0.3514
Sm3 0.2148 0.5000 0.8922
# ΔH_f (0 K) ... 99 meV per atom
# Fermi-level density of states ... 1.812 states/eV/atom
# Total DFT energy (no corrections) ... -4.648 eV/atom
# Energy above the most stable polymorph in this dataset ... 0.000 eV/atom